Record 1
First-principles (PBEsol) data for an optimized crystal structure of Sr2BiAsBr, as listed in Alexandria via LeMat-Bulk.

Results
The formation energy (no corrections) is -0.389 eV/atom. The space group is P4/mmm, No. 123.

Lattice parameters (Å, degrees): 6.2977 6.2977 5.3423 90.00 90.00 90.00
Closest atoms and distances in Å follow each position.
Element x y z (fractional)
Sr (0.0000, 0.5000, 0.0000)  2 Bi 3.15
Sr (0.5000, 0.0000, 0.0000)  2 Bi 3.15
Bi (0.0000, 0.0000, 0.0000)  2 As 2.67
As (0.0000, 0.0000, 0.5000)  2 Bi 2.67
Br (0.5000, 0.5000, 0.5000)  8 Sr 4.13, 4 As 4.45

Record 2
First-principles (PBEsol) data for an optimized crystal structure of Bi3AsC, as listed in Alexandria via LeMat-Bulk.

Results
The space group is Pm-3m, No. 221. Its formation energy is 0.9732 eV per atom. The calculation puts the distance to the lowest polymorph of the same formula at 0.000 eV per atom.

Lattice parameters (Å, degrees): 4.9403 4.9403 4.9403 90.00 90.00 90.00
Closest atoms and distances in Å follow each position.
Element x y z (fractional)
Bi (0.0000, 0.0000, 0.5000)  2 C 2.47
Bi (0.0000, 0.5000, 0.0000)  2 C 2.47
Bi (0.5000, 0.0000, 0.0000)  2 C 2.47
As (0.5000, 0.5000, 0.5000)  12 Bi 3.49
C (0.0000, 0.0000, 0.0000)  6 Bi 2.47

Record 3
First-principles (PBEsol) data for an optimized crystal structure of Si4Bi2AsH38C14Cl2, as listed in Alexandria via LeMat-Bulk.

Results
The space group is P-1, No. 2.

Lattice parameters (Å, degrees): 9.4734 12.3698 13.6335 97.16 101.31 93.34
Closest atoms and distances in Å follow each position.
Element x y z (fractional)
Si (0.0158, 0.2308, 0.1190)  4 C 1.88-1.89
Si (0.1258, 0.2164, 0.6211)  4 C 1.88-1.89
Si (0.2942, 0.8310, 0.8310)  4 C 1.88-1.89
Si (0.3967, 0.3901, 0.6309)  4 C 1.88
Si (0.6033, 0.6099, 0.3691)  4 C 1.88
Si (0.7058, 0.1690, 0.1690)  4 C 1.88-1.89
Si (0.8742, 0.7836, 0.3789)  4 C 1.88-1.89
Si (0.9842, 0.7692, 0.8810)  4 C 1.88-1.89
Bi (0.2293, 0.6098, 0.9744)  1 C 2.30
Bi (0.3130, 0.3218, 0.8607)  1 C 2.29
Bi (0.6870, 0.6782, 0.1393)  1 C 2.29
Bi (0.7707, 0.3902, 0.0256)  1 C 2.30
As (0.4648, 0.5243, 0.9137)  1 As 2.48, 1 H 2.74, 2 Bi 2.75
As (0.5352, 0.4757, 0.0863)  1 As 2.48, 1 H 2.74, 2 Bi 2.75
H (0.9998, 0.1998, 0.7655)  1 C 1.10
H (0.0002, 0.8002, 0.2345)  1 C 1.10
H (0.0137, 0.6191, 0.3731)  1 C 1.10
H (0.0338, 0.0617, 0.2054)  1 C 1.10
H (0.0468, 0.3587, 0.5103)  1 C 1.10
H (0.0507, 0.0749, 0.4704)  1 C 1.10
H (0.0577, 0.7895, 0.0698)  1 C 1.11
H (0.0649, 0.9060, 0.3370)  1 C 1.10
H (0.0842, 0.9177, 0.0266)  1 C 1.10
H (0.0934, 0.1365, 0.9701)  1 C 1.10
H (0.1023, 0.7248, 0.4708)  1 C 1.10
H (0.1040, 0.0861, 0.7450)  1 C 1.10
H (0.1130, 0.4045, 0.0694)  1 C 1.11
H (0.1178, 0.1805, 0.2891)  1 C 1.10
H (0.1248, 0.8811, 0.6798)  1 C 1.10
H (0.1370, 0.6608, 0.7860)  1 C 1.11
H (0.1651, 0.4051, 0.2021)  1 C 1.10
H (0.1910, 0.9968, 0.9056)  1 C 1.10
H (0.1973, 0.5139, 0.6068)  1 C 1.10
H (0.2055, 0.1198, 0.1945)  1 C 1.10
H (0.2135, 0.0440, 0.5481)  1 C 1.10
H (0.2186, 0.1458, 0.4667)  1 C 1.10
H (0.2359, 0.7778, 0.6442)  1 C 1.10
H (0.2542, 0.3249, 0.1188)  1 C 1.11
H (0.2624, 0.3335, 0.4507)  1 C 1.10
H (0.3094, 0.9166, 0.6772)  1 C 1.10
H (0.3150, 0.5533, 0.7266)  1 C 1.10
H (0.3309, 0.9525, 0.9961)  1 C 1.10
H (0.3493, 0.5344, 0.3542)  1 C 1.10
H (0.3557, 0.6702, 0.3232)  1 C 1.10
H (0.3684, 0.5865, 0.6150)  1 C 1.10
H (0.3761, 0.0244, 0.8996)  1 C 1.11
H (0.3798, 0.5588, 0.2337)  1 C 1.10
H (0.3810, 0.2161, 0.6962)  1 C 1.11
H (0.4257, 0.2675, 0.4761)  1 C 1.10
H (0.4316, 0.4076, 0.4579)  1 C 1.10
H (0.4488, 0.1405, 0.1752)  1 C 1.10
H (0.4684, 0.2183, 0.0762)  1 C 1.10
H (0.4944, 0.7170, 0.7955)  1 C 1.10
H (0.5056, 0.2830, 0.2045)  1 C 1.10
H (0.5316, 0.7817, 0.9238)  1 C 1.10
H (0.5512, 0.8595, 0.8248)  1 C 1.10
H (0.5684, 0.5924, 0.5421)  1 C 1.10
H (0.5743, 0.7325, 0.5239)  1 C 1.10
H (0.6190, 0.7839, 0.3038)  1 C 1.11
H (0.6202, 0.4412, 0.7663)  1 C 1.10
H (0.6239, 0.9756, 0.1004)  1 C 1.11
H (0.6316, 0.4135, 0.3850)  1 C 1.10
H (0.6443, 0.3298, 0.6768)  1 C 1.10
H (0.6507, 0.4656, 0.6458)  1 C 1.10
H (0.6691, 0.0475, 0.0039)  1 C 1.10
H (0.6850, 0.4467, 0.2734)  1 C 1.10
H (0.6906, 0.0834, 0.3228)  1 C 1.10
H (0.7376, 0.6665, 0.5493)  1 C 1.10
H (0.7458, 0.6751, 0.8812)  1 C 1.11
H (0.7641, 0.2222, 0.3558)  1 C 1.10
H (0.7814, 0.8542, 0.5333)  1 C 1.10
H (0.7865, 0.9560, 0.4519)  1 C 1.10
H (0.7945, 0.8802, 0.8055)  1 C 1.10
H (0.8027, 0.4861, 0.3932)  1 C 1.10
H (0.8090, 0.0032, 0.0944)  1 C 1.10
H (0.8349, 0.5949, 0.7979)  1 C 1.10
H (0.8630, 0.3392, 0.2140)  1 C 1.11
H (0.8752, 0.1189, 0.3202)  1 C 1.10
H (0.8822, 0.8195, 0.7109)  1 C 1.10
H (0.8870, 0.5955, 0.9306)  1 C 1.11
H (0.8960, 0.9139, 0.2550)  1 C 1.10
H (0.8977, 0.2752, 0.5292)  1 C 1.10
H (0.9066, 0.8635, 0.0299)  1 C 1.10
H (0.9158, 0.0823, 0.9734)  1 C 1.10
H (0.9351, 0.0940, 0.6630)  1 C 1.10
H (0.9423, 0.2105, 0.9302)  1 C 1.11
H (0.9493, 0.9251, 0.5296)  1 C 1.10
H (0.9532, 0.6413, 0.4897)  1 C 1.10
H (0.9662, 0.9383, 0.7946)  1 C 1.10
H (0.9863, 0.3809, 0.6269)  1 C 1.10
C (0.0037, 0.3177, 0.5669)  3 H 1.10
C (0.0121, 0.8420, 0.0136)  3 H 1.10-1.11
C (0.0334, 0.1430, 0.7070)  3 H 1.10
C (0.0994, 0.1396, 0.2104)  3 H 1.10
C (0.1484, 0.3526, 0.1286)  3 H 1.10-1.11
C (0.1555, 0.1110, 0.5169)  3 H 1.10
C (0.1613, 0.7225, 0.8548)  1 H 1.11
C (0.2347, 0.8540, 0.6956)  3 H 1.10
C (0.2974, 0.9632, 0.9160)  3 H 1.10-1.11
C (0.3081, 0.2833, 0.6911)  1 H 1.11
C (0.3115, 0.5229, 0.6463)  3 H 1.10
C (0.3762, 0.3448, 0.4912)  3 H 1.10
C (0.4041, 0.5915, 0.3148)  3 H 1.10
C (0.4851, 0.7926, 0.8453)  3 H 1.10
C (0.5149, 0.2074, 0.1547)  3 H 1.10
C (0.5959, 0.4085, 0.6852)  3 H 1.10
C (0.6238, 0.6552, 0.5088)  3 H 1.10
C (0.6885, 0.4771, 0.3537)  3 H 1.10
C (0.6919, 0.7167, 0.3089)  1 H 1.11
C (0.7026, 0.0368, 0.0840)  3 H 1.10-1.11
C (0.7653, 0.1460, 0.3044)  3 H 1.10
C (0.8387, 0.2775, 0.1452)  1 H 1.11
C (0.8445, 0.8890, 0.4831)  3 H 1.10
C (0.8516, 0.6474, 0.8714)  3 H 1.10-1.11
C (0.9006, 0.8604, 0.7896)  3 H 1.10
C (0.9666, 0.8570, 0.2930)  3 H 1.10
C (0.9879, 0.1580, 0.9864)  3 H 1.10-1.11
C (0.9963, 0.6823, 0.4331)  3 H 1.10
Cl (0.0690, 0.4322, 0.8400)  2 Bi 2.74-2.83, 3 H 2.84-3.03
Cl (0.4173, 0.7649, 0.1028)  2 Bi 2.73-2.81, 3 H 2.88-2.99
Cl (0.5827, 0.2351, 0.8972)  2 Bi 2.73-2.81, 3 H 2.88-2.99
Cl (0.9310, 0.5678, 0.1600)  2 Bi 2.74-2.83, 3 H 2.84-3.03

no.,VASP energy (eV per formula unit)
1,-16.89
2,-22.74
3,-313.09